# Sr4Zn2Ag5

Crystalline Sr4Zn2Ag5 at its relaxed geometry (PBE, the Alexandria database).

Lattice parameters (Å, degrees): 7.829 4.433 8.766 90.00 91.47 90.00
Space group P2/m (No. 10)
Inequivalent atoms, fractional coordinates:
1 Sr 0.228 0.000 0.132
2 Sr 0.267 0.000 0.630
3 Zn 0.075 0.500 0.374
4 Ag 0.126 0.500 0.877
5 Ag 0.415 0.500 0.354
6 Ag 0.500 0.500 0.000

- Energy of formation from the pure elements: -0.24 eV/atom

***

# Sr2ZnAg

Crystalline Sr2ZnAg at its relaxed geometry (PBE, the Alexandria database).

Lattice parameters (Å, degrees): 4.456 4.770 6.404 90.00 110.19 90.00
Space group Pm (No. 6)
Inequivalent atoms, fractional coordinates:
1 Sr 0.000 0.000 0.000
2 Sr 0.284 0.500 0.568
3 Zn 0.578 0.500 0.156
4 Ag 0.705 0.000 0.409

- Energy of formation from the pure elements: -0.26 eV/atom

***

Question: The lowest energy of formation from the pure elements belongs to which entry?
Answer: Sr2ZnAg

***

Question: Look up the energy of formation from the pure elements of the first one.
Answer: -0.24 eV/atom

***

Please write out number 2 again, unchanged.
# Sr2ZnAg

Crystalline Sr2ZnAg at its relaxed geometry (PBE, the Alexandria database).

Lattice parameters (Å, degrees): 4.456 4.770 6.404 90.00 110.19 90.00
Space group Pm (No. 6)
Inequivalent atoms, fractional coordinates:
1 Sr 0.000 0.000 0.000
2 Sr 0.284 0.500 0.568
3 Zn 0.578 0.500 0.156
4 Ag 0.705 0.000 0.409

- Energy of formation from the pure elements: -0.26 eV/atom

***

Question: Which value of energy of formation from the pure elements does entry 2 give?
Answer: -0.26 eV/atom